# Ca2Nd2Tl7

A relaxed Ca2Nd2Tl7 crystal (PBE-GGA, Alexandria via LeMat-Bulk).

Lattice parameters (Å, degrees): 8.5726 11.0815 7.9034 90.00 90.00 90.00
Space group Cmmm (No. 65)
Asymmetric unit:
Ca 0.1946 0.0000 0.0000 (multiplicity 4)
Nd 0.0000 0.3032 0.5000 (multiplicity 4)
Tl 0.0000 0.0000 0.5000 (multiplicity 2)
Tl 0.0000 0.5000 0.2071 (multiplicity 4)
Tl 0.2500 0.2500 0.2014 (multiplicity 8)

***

# ScTa2Be

A relaxed ScTa2Be crystal (PBE-GGA, Alexandria via LeMat-Bulk).

Lattice parameters (Å, degrees): 3.8636 3.8636 19.5695 90.00 90.00 90.00
Space group I-42d (No. 122)
Asymmetric unit:
Sc 0.0000 0.0000 0.0000 (multiplicity 4)
Ta 0.2448 0.2500 0.6250 (multiplicity 8)
Be 0.0000 0.0000 0.5000 (multiplicity 4)

***

So what do the calculations give for total magnetic moment? Going down the list: 0.00, 0.00 μB/cell.
So what do the calculations give for VASP energy? Going down the list: -2.755, -7.849 eV/atom.
So what do the calculations give for calculated formation energy? Going down the list: -0.02, 0.59 eV/atom.